Entry from Alexandria via LeMat-Bulk: crystalline Rb2Pm2PuO6 at its relaxed geometry (PBE).

Structure (CIF):
```
data_Rb2Pm2PuO6
_chemical_formula_sum 'Rb2 Pm2 Pu1 O6'
_cell_length_a 6.188
_cell_length_b 6.188
_cell_length_c 6.998
_cell_angle_alpha 98.29
_cell_angle_beta 98.29
_cell_angle_gamma 119.82
_space_group_name_H-M_alt 'P 1'
_space_group_IT_number 1
loop_
_space_group_symop_operation_xyz
'x,y,z'
loop_
_atom_site_label
_atom_site_type_symbol
_atom_site_fract_x
_atom_site_fract_y
_atom_site_fract_z
O1 O 0.255 0.255 0.334
Rb1 Rb 0.833 0.167 0.000
O2 O 0.745 0.745 0.666
Rb2 Rb 0.167 0.833 0.000
Pu1 Pu 0.000 0.000 0.500
Pm1 Pm 0.334 0.666 0.500
Pm2 Pm 0.666 0.334 0.500
O3 O 0.048 0.373 0.666
O4 O 0.373 0.048 0.666
O5 O 0.952 0.627 0.334
O6 O 0.627 0.952 0.334
```

E_form (uncorrected) in meV/atom: -2719
DOS at the Fermi energy in states/eV/f.u.: 1.90
Crystal system: monoclinic